A plane-wave DFT calculation with GGA-PBEsol was carried out for CdIr2 after structural relaxation.

Values from the calculation:
calculated total energy: -6.76 eV/atom
magnetic moment: 0.00 μB per formula unit
energy relative to the elements: 184 meV/atom

a b c (Å): 2.770 14.738 4.541
angles (deg): 90.00 90.00 90.00
Space group Cmcm (No. 63)
Asymmetric unit:
Cd (0.000, 0.219, 0.250) x4
Ir (0.000, 0.103, 0.750) x4
Ir (0.000, 0.450, 0.750) x4